[1]
Computed, not measured: a geometry-optimized Tl2PdAu2 structure at the GGA-PBE level of DFT.

The structure in POSCAR format:
```
Tl2PdAu2
1.0
-5.708 -1.237 -1.168
0.415 -5.285 3.574
0.919 6.509 3.800
Tl Pd Au
4 2 4
direct
0.141 0.915 0.283
0.859 0.085 0.717
0.359 0.632 0.717
0.641 0.368 0.283
0.250 0.500 0.000
0.750 0.500 0.000
0.627 0.903 0.254
0.373 0.097 0.746
0.873 0.649 0.746
0.127 0.351 0.254
```

Its energy is -33.3 eV per cell. Its total magnetization is 0.0 μB per formula unit. The value obtained for the calculated density is 12.8 Mg/m³. For the relative energy among the computed polymorphs, the calculation gives 0 meV/atom. The value obtained for the energy relative to the elements is -0.037 eV per atom.



[2]
Computed, not measured: a geometry-optimized TlPd5Au structure at the GGA-PBE level of DFT.

The structure in POSCAR format:
```
TlPd5Au
1.0
5.240 0.000 0.000
0.000 8.748 0.000
-2.620 -4.374 3.730
Tl Pd Au
1 5 1
direct
0.642 0.500 0.000
0.952 0.175 0.349
0.149 0.500 0.000
0.602 0.825 0.651
0.945 0.239 0.000
0.945 0.761 0.000
0.295 0.000 0.000
```

Its energy is -27.5 eV per cell. Its total magnetization is 0.0 μB per formula unit. The value obtained for the calculated density is 9.1 Mg/m³. For the relative energy among the computed polymorphs, the calculation gives 632 meV/atom. The value obtained for the energy relative to the elements is 0.586 eV per atom.



[3]
Computed, not measured: a geometry-optimized TlPd4Au5 structure at the GGA-PBE level of DFT.

The structure in POSCAR format:
```
TlPd4Au5
1.0
-0.226 -2.459 -4.183
0.553 -5.486 1.819
-6.307 1.578 1.526
Tl Pd Au
1 4 5
direct
0.500 0.000 0.000
0.695 0.298 0.397
0.101 0.897 0.199
0.305 0.702 0.603
0.899 0.103 0.801
0.294 0.199 0.589
0.094 0.407 0.206
0.906 0.593 0.794
0.500 0.500 0.000
0.706 0.801 0.411
```

Its energy is -40.6 eV per cell. Its total magnetization is 0.0 μB per formula unit. The value obtained for the calculated density is 15.4 Mg/m³. The value obtained for the energy relative to the elements is -0.112 eV per atom.



[4]
Computed, not measured: a geometry-optimized TlPdAu2 structure at the GGA-PBE level of DFT.

The structure in POSCAR format:
```
TlPdAu2
1.0
-1.115 0.961 4.503
-1.302 4.385 1.234
-4.499 0.889 1.188
Tl Au Pd
1 2 1
direct
0.500 0.500 0.500
0.250 0.250 0.250
0.750 0.750 0.750
0.000 0.000 0.000
```

Its energy is -14.0 eV per cell. Its total magnetization is 0.0 μB per formula unit. The value obtained for the calculated density is 15.6 Mg/m³. For the relative energy among the computed polymorphs, the calculation gives 82 meV/atom. The value obtained for the energy relative to the elements is 0.039 eV per atom.